[1]
The following is a GGA-PBE calculation of an optimized crystal structure of TaTl2Ru, from the Alexandria database.

Cell: 3.140 5.324 9.596 Å, 90.00 90.00 90.00°
Space group Cmmm (No. 65)
One atom of each set of equivalent atoms:
Ta (0.000, 0.000, 0.000) x2
Tl (0.000, 0.500, 0.264) x4
Ru (0.000, 0.000, 0.500) x2

Values from the calculation:
relative energy among the computed polymorphs: 508.4 meV/atom
ρ: 14.3 g/cm3
formation energy: 273 kJ/mol of formula units

---

[2]
The following is a GGA-PBE calculation of an optimized crystal structure of CaNbIr2, from the Alexandria database.

Cell: 3.131 3.131 7.544 Å, 90.00 90.00 90.00°
Space group P4/mmm (No. 123)
One atom of each set of equivalent atoms:
Ca (0.000, 0.000, 0.000) x1
Nb (0.000, 0.000, 0.500) x1
Ir (0.500, 0.500, 0.291) x2

Values from the calculation:
relative energy among the computed polymorphs: 0.0 meV/atom
ρ: 11.6 g/cm3
formation energy: -150 kJ/mol of formula units

---

[3]
The following is a GGA-PBE calculation of an optimized crystal structure of TbMnVGe2, from the Alexandria database.

Cell: 3.976 3.976 11.085 Å, 90.00 90.00 90.00°
Space group I-4m2 (No. 119)
One atom of each set of equivalent atoms:
Tb (0.000, 0.000, 0.000) x2
Mn (0.000, 0.500, 0.250) x2
V (0.000, 0.500, 0.750) x2
Ge (0.000, 0.000, 0.386) x4

Values from the calculation:
ρ: 7.8 g/cm3
formation energy: -236 kJ/mol of formula units

---

[4]
The following is a GGA-PBE calculation of an optimized crystal structure of Sr2SnPd7, from the Alexandria database.

Cell: 9.991 9.991 9.991 Å, 90.00 90.00 90.00°
Space group Fm-3m (No. 225)
One atom of each set of equivalent atoms:
Sr (0.250, 0.250, 0.250) x8
Sn (0.000, 0.000, 0.000) x4
Pd (0.000, 0.000, 0.248) x24
Pd (0.000, 0.000, 0.500) x4

Values from the calculation:
ρ: 6.9 g/cm3
formation energy: -52 kJ/mol of formula units